No. 1
Compound: ZrInAsSe2
Source: Alexandria via LeMat-Bulk
Functional: PBE
Structure: relaxed

Calculated values
For the density of states at the Fermi level, the calculation gives 0.787 states/eV/atom. The energy relative to the elements, uncorrected is -0.376 eV/atom. The excess energy over the best structure of this formula in the dataset comes out at 0.0 meV/atom.

a b c (Å): 5.2384 5.2384 5.3120
angles (deg): 90.00 90.00 90.00
Space group P4/mmm (No. 123)
Symmetry-distinct sites (fractional):
Zr 0.0000 0.0000 0.0000
In 0.5000 0.5000 0.5000
As 0.0000 0.0000 0.5000
Se 0.0000 0.5000 0.0000

No. 2
Compound: NaZr2S4
Source: Alexandria via LeMat-Bulk
Functional: PBE
Structure: relaxed

Calculated values
For the density of states at the Fermi level, the calculation gives 0.479 states/eV/atom. The energy relative to the elements, uncorrected is -1.475 eV/atom. The excess energy over the best structure of this formula in the dataset comes out at 14.1 meV/atom.

a b c (Å): 7.7680 7.7680 10.9492
angles (deg): 90.00 90.00 90.00
Space group I4_1/amd (No. 141, origin choice 2)
Symmetry-distinct sites (fractional):
Na 0.0000 0.2500 0.3750
Zr 0.0000 0.0000 0.0000
S 0.0000 0.0259 0.7622

No. 3
Compound: Ba2CdNiHg
Source: Alexandria via LeMat-Bulk
Functional: PBE
Structure: relaxed

Calculated values
For the density of states at the Fermi level, the calculation gives 0.688 states/eV/atom. The excess energy over the best structure of this formula in the dataset comes out at 29.3 meV/atom. The calculation puts the formation energy at -0.1621 eV per atom.

a b c (Å): 5.9405 5.9405 5.0592
angles (deg): 90.00 90.00 90.00
Space group P4/mmm (No. 123)
Symmetry-distinct sites (fractional):
Ba 0.0000 0.5000 0.0000
Cd 0.0000 0.0000 0.5000
Ni 0.5000 0.5000 0.0000
Hg 0.5000 0.5000 0.5000

No. 4
Compound: Tl2TePb
Source: Alexandria via LeMat-Bulk
Functional: PBE
Structure: relaxed

Calculated values
For the density of states at the Fermi level, the calculation gives 0.544 states/eV/atom. The energy relative to the elements, uncorrected is -0.006 eV/atom. The excess energy over the best structure of this formula in the dataset comes out at 141.8 meV/atom.

a b c (Å): 4.2775 4.2775 25.6728
angles (deg): 90.00 90.00 120.00
Space group R3m (No. 160, hexagonal axes)
Symmetry-distinct sites (fractional):
Tl 0.0000 0.0000 0.0000
Tl 0.0000 0.0000 0.1793
Te 0.0000 0.0000 0.5901
Pb 0.0000 0.0000 0.4218

No. 5
Compound: Tm2AlCrS6
Source: Alexandria via LeMat-Bulk
Functional: PBE
Structure: relaxed

Calculated values
The energy relative to the elements, uncorrected is -1.378 eV/atom.

a b c (Å): 6.4820 6.4820 16.8517
angles (deg): 90.00 90.00 120.00
Space group R3 (No. 146, hexagonal axes)
Symmetry-distinct sites (fractional):
Tm 0.0000 0.0000 0.0000
Tm 0.0000 0.0000 0.4965
Al 0.0000 0.0000 0.2044
Cr 0.0000 0.0000 0.7003
S 0.0560 0.3455 0.2760
S 0.0583 0.7165 0.7772

No. 6
Compound: MgTeAuN2
Source: Alexandria via LeMat-Bulk
Functional: PBE
Structure: relaxed

Calculated values
For the density of states at the Fermi level, the calculation gives 0.517 states/eV/atom. The energy relative to the elements, uncorrected is 1.311 eV/atom. The excess energy over the best structure of this formula in the dataset comes out at 73.6 meV/atom.

a b c (Å): 4.0766 4.0766 6.6378
angles (deg): 90.00 90.00 90.00
Space group P4/mmm (No. 123)
Symmetry-distinct sites (fractional):
Mg 0.0000 0.0000 0.0000
Te 0.5000 0.5000 0.0000
Au 0.5000 0.5000 0.5000
N 0.0000 0.5000 0.5000

No. 7
Compound: PmTmScCd
Source: Alexandria via LeMat-Bulk
Functional: PBE
Structure: relaxed

Calculated values
For the density of states at the Fermi level, the calculation gives 1.606 states/eV/atom. The excess energy over the best structure of this formula in the dataset comes out at 0.0 meV/atom. The calculation puts the formation energy at -0.1182 eV per atom.

a b c (Å): 3.5243 3.5243 8.9132
angles (deg): 90.00 90.00 90.00
Space group P4mm (No. 99)
Symmetry-distinct sites (fractional):
Pm 0.0000 0.0000 0.0000
Tm 0.0000 0.0000 0.5169
Sc 0.5000 0.5000 0.2656
Cd 0.5000 0.5000 0.7468

No. 8
Compound: KCd6Sn4
Source: Alexandria via LeMat-Bulk
Functional: PBE
Structure: relaxed

Calculated values
For the density of states at the Fermi level, the calculation gives 0.594 states/eV/atom. The calculation puts the formation energy at 0.0718 eV per atom.

a b c (Å): 8.1083 8.1083 10.2130
angles (deg): 90.00 90.00 90.00
Space group I-42m (No. 121)
Symmetry-distinct sites (fractional):
K 0.0000 0.0000 0.0000
Cd 0.0000 0.5000 0.0000
Cd 0.1350 0.1350 0.6633
Sn 0.2182 0.2182 0.3860

| no. | raw total energy (eV per atom) |
| --- | --- |
| 1 | -4.96 |
| 2 | -6.46 |
| 3 | -2.33 |
| 4 | -2.90 |
| 5 | -6.09 |
| 6 | -3.62 |
| 7 | -4.24 |
| 8 | -1.98 |